Record 1
Density functional theory data (GGA-PBE) for a geometry-optimized LiSN2Cl structure.

a = 3.6418 Å, b = 3.6418 Å, c = 6.0361 Å
α = 90.00°, β = 90.00°, γ = 90.00°
Space group P4/mmm (No. 123)
Inequivalent atoms, fractional coordinates:
Li1 0.0000 0.0000 0.0000
S1 0.0000 0.0000 0.5000
N1 0.0000 0.5000 0.0000
Cl1 0.5000 0.5000 0.5000

**Energy relative to the elements, uncorrected**: 1.87 eV/atom
**Calculated density**: 2.126 Mg/m³
**ΔE to the lowest computed polymorph**: 0.80 kcal/mol of atoms
**Density of states at the Fermi level**: 2.3 states/eV/f.u.

Record 2
Density functional theory data (GGA-PBE) for a geometry-optimized Ac7ThOs3 structure.

a = 13.7110 Å, b = 8.6148 Å, c = 10.0592 Å
α = 90.00°, β = 132.51°, γ = 90.00°
Space group Cm (No. 8)
Inequivalent atoms, fractional coordinates:
Ac1 0.0000 0.0000 0.0000
Ac2 0.0025 0.5000 0.9979
Ac3 0.1516 0.2408 0.8275
Ac4 0.2413 0.2555 0.4898
Ac5 0.3973 0.0000 0.3223
Th1 0.3792 0.5000 0.3302
Os1 0.2029 0.2539 0.1644
Os2 0.4448 0.5000 0.6565

**Energy**: -141.21 eV per cell
**Calculated density**: 9.069 Mg/m³
**Density of states at the Fermi level**: 10.8 states/eV/f.u.